(A)
Computed, not measured: ZrPS2I after structural relaxation at the PBE level of DFT.

The size of the total moment is 1.0 μB/cell.

The structure belongs to space group P4/mmm (No. 123); the cell edges are 4.912, 4.912 and 5.146 Å and the angles 90.00°, 90.00° and 90.00°. The distinct sites, in fractional coordinates, are Zr at (0.000, 0.000, 0.000), P at (0.500, 0.500, 0.000), S at (0.000, 0.500, 0.500) and I at (0.500, 0.500, 0.500).


(B)
Computed, not measured: ZrPS2I after structural relaxation at the PBE level of DFT.

The size of the total moment is 0.0 μB/cell.

The structure belongs to space group P4/mmm (No. 123); the cell edges are 4.876, 4.876 and 5.569 Å and the angles 90.00°, 90.00° and 90.00°. The distinct sites, in fractional coordinates, are Zr at (0.000, 0.000, 0.000), P at (0.000, 0.000, 0.500), S at (0.000, 0.500, 0.000) and I at (0.500, 0.500, 0.500).


What is the least stable structure shown above? It is (A).